[1]
CrCd2In PBE-GGA relaxed; crystal system = monoclinic; energy of formation from the pure elements = 0.2707 eV/atom
1.0
5.1267 0.0000 0.0000
0.0000 3.1797 0.0000
-1.6607 0.0000 5.1140
Cr Cd In
1 2 1
Cartesian
0.0000 0.0000 0.0000
-0.8304 1.5898 2.5570
1.7330 0.0000 2.5570
2.5634 1.5898 0.0000

***

[2]
CrCd2In PBE-GGA relaxed; crystal system = monoclinic; energy of formation from the pure elements = 0.2789 eV/atom
1.0
11.0099 0.0000 0.0000
0.0000 3.1678 0.0000
-2.5582 0.0000 4.8512
Cr Cd In
2 4 2
Cartesian
0.0000 0.0000 0.0000
5.5050 1.5839 0.0000
1.5733 1.5839 1.9703
4.1581 0.0000 2.5015
7.0782 0.0000 1.9703
9.6631 1.5839 2.5015
0.4828 0.0000 4.5068
5.9878 1.5839 4.5068

***

[3]
LaCr2CdIn PBE-GGA relaxed; crystal system = tetragonal; energy of formation from the pure elements = 0.7971 eV/atom
1.0
5.2078 0.0000 0.0000
0.0000 5.2078 0.0000
0.0000 0.0000 5.2478
La Cr Cd In
1 2 1 1
Cartesian
0.0000 0.0000 0.0000
0.0000 2.6039 2.6239
2.6039 0.0000 2.6239
2.6039 2.6039 0.0000
2.6039 2.6039 2.6239

***

[4]
MnCrCd2In PBE-GGA relaxed; crystal system = tetragonal; energy of formation from the pure elements = 1.1586 eV/atom
1.0
5.3514 0.0000 0.0000
0.0000 5.3514 0.0000
0.0000 0.0000 5.2636
Mn Cr Cd In
1 1 2 1
Cartesian
0.0000 0.0000 0.0000
2.6757 2.6757 0.0000
0.0000 2.6757 2.6318
2.6757 0.0000 2.6318
2.6757 2.6757 2.6318